A geometry-optimized CaAs3Ru2 structure, computed with PBE-GGA.

Geometry as CIF:
```
data_CaAs3Ru2
_chemical_formula_sum 'Ca4 As12 Ru8'
_cell_length_a 4.206
_cell_length_b 12.817
_cell_length_c 8.272
_cell_angle_alpha 90.00
_cell_angle_beta 90.00
_cell_angle_gamma 90.00
_space_group_name_H-M_alt 'C m c m'
_space_group_IT_number 63
_space_group_name_Hall '-C 2c 2'
loop_
_atom_site_label
_atom_site_type_symbol
_atom_site_fract_x
_atom_site_fract_y
_atom_site_fract_z
Ca1 Ca 0.000 0.200 0.250
As1 As 0.000 0.118 0.750
As2 As 0.000 0.381 0.525
Ru1 Ru 0.000 0.000 0.000
Ru2 Ru 0.000 0.479 0.250
```



A geometry-optimized SrNd5Te6 structure, computed with PBE-GGA.

Geometry as CIF:
```
data_SrNd5Te6
_chemical_formula_sum 'Sr2 Nd10 Te12'
_cell_length_a 7.822
_cell_length_b 13.579
_cell_length_c 7.875
_cell_angle_alpha 90.00
_cell_angle_beta 109.39
_cell_angle_gamma 90.00
_space_group_name_H-M_alt 'C 1 2/m 1'
_space_group_IT_number 12
_space_group_name_Hall '-C 2y'
loop_
_atom_site_label
_atom_site_type_symbol
_atom_site_fract_x
_atom_site_fract_y
_atom_site_fract_z
Sr1 Sr 0.000 0.000 0.000
Nd1 Nd 0.000 0.163 0.500
Nd2 Nd 0.000 0.333 0.000
Nd3 Nd 0.000 0.500 0.500
Te1 Te 0.246 0.500 0.248
Te2 Te 0.247 0.332 0.746
```



A geometry-optimized LaTe2Mo structure, computed with PBE-GGA.

Geometry as CIF:
```
data_LaTe2Mo
_chemical_formula_sum 'La3 Te6 Mo3'
_cell_length_a 3.5022
_cell_length_b 3.5022
_cell_length_c 30.7937
_cell_angle_alpha 90.00
_cell_angle_beta 90.00
_cell_angle_gamma 120.00
_space_group_name_H-M_alt 'R -3 m'
_space_group_IT_number 166
_space_group_name_Hall '-R 3 2"'
loop_
_atom_site_label
_atom_site_type_symbol
_atom_site_fract_x
_atom_site_fract_y
_atom_site_fract_z
La1 La 0.0000 0.0000 0.0000
Te1 Te 0.0000 0.0000 0.1058
Mo1 Mo 0.0000 0.0000 0.5000
```



A geometry-optimized TiBH structure, computed with PBE-GGA.

Geometry as CIF:
```
data_TiBH
_chemical_formula_sum 'Ti4 B4 H4'
_cell_length_a 4.681
_cell_length_b 4.625
_cell_length_c 4.779
_cell_angle_alpha 90.00
_cell_angle_beta 90.00
_cell_angle_gamma 90.00
_space_group_name_H-M_alt 'P n m a'
_space_group_IT_number 62
_space_group_name_Hall '-P 2ac 2n'
loop_
_atom_site_label
_atom_site_type_symbol
_atom_site_fract_x
_atom_site_fract_y
_atom_site_fract_z
Ti1 Ti 0.245 0.250 0.023
B1 B 0.244 0.750 0.985
H1 H 0.074 0.250 0.681
```



A geometry-optimized Cu2IrSe structure, computed with PBE-GGA.

Geometry as CIF:
```
data_Cu2IrSe
_chemical_formula_sum 'Cu4 Ir2 Se2'
_cell_length_a 3.040
_cell_length_b 4.349
_cell_length_c 8.609
_cell_angle_alpha 90.00
_cell_angle_beta 90.00
_cell_angle_gamma 90.00
_space_group_name_H-M_alt 'I m m m'
_space_group_IT_number 71
_space_group_name_Hall '-I 2 2'
loop_
_atom_site_label
_atom_site_type_symbol
_atom_site_fract_x
_atom_site_fract_y
_atom_site_fract_z
Cu1 Cu 0.000 0.000 0.239
Ir1 Ir 0.000 0.500 0.000
Se1 Se 0.000 0.500 0.500
```



A geometry-optimized AlIn structure, computed with PBE-GGA.

Geometry as CIF:
```
data_AlIn
_chemical_formula_sum 'Al8 In8'
_cell_length_a 8.503
_cell_length_b 8.503
_cell_length_c 8.503
_cell_angle_alpha 90.00
_cell_angle_beta 90.00
_cell_angle_gamma 90.00
_space_group_name_H-M_alt 'I -4 3 m'
_space_group_IT_number 217
_space_group_name_Hall 'I -4 2 3'
loop_
_atom_site_label
_atom_site_type_symbol
_atom_site_fract_x
_atom_site_fract_y
_atom_site_fract_z
Al1 Al 0.117 0.117 0.117
In1 In 0.199 0.199 0.801
```



| no. | calculated total energy (Ha/atom) | magnetization (μB/f.u.) | ρ (g cm⁻³) |
| --- | --- | --- | --- |
| 1 | -0.23123 | 0.00 | 6.95 |
| 2 | -0.18957 | 0.00 | 6.63 |
| 3 | -0.20678 | 0.00 | 7.46 |
| 4 | -0.22754 | 0.00 | 3.83 |
| 5 | -0.17796 | 0.00 | 11.62 |
| 6 | -0.10099 | 0.00 | 3.06 |